Material: Ca4Mn3CrO12
Method: DFT, PBE+U
State: relaxed

For the energy, the calculation gives -6.896 eV/atom. Its density of states at the Fermi level is 0.3703 states/eV/atom. The crystal system is tetragonal. The calculation puts the total magnetization at 0.570 μB per atom. The value obtained for the density is 4.27 Mg/m³.

abc: 7.5909 7.5909 3.8392
angles: 90.00 90.00 90.00
Last column: nearest neighbours and their distance in Å.
Positions (direct):
1 Ca 0.2517 0.2517 0.5000  12 O 2.67-2.71
2 Ca 0.7483 0.2517 0.5000  12 O 2.67-2.71
3 Ca 0.2517 0.7483 0.5000  12 O 2.67-2.71
4 Ca 0.7483 0.7483 0.5000  12 O 2.67-2.71
5 Mn 0.5000 0.0000 0.0000  6 O 1.90-1.92
6 Mn 0.0000 0.5000 0.0000  6 O 1.90-1.92
7 Mn 0.5000 0.5000 0.0000  6 O 1.90-1.92
8 Cr 0.0000 0.0000 0.0000  6 O 1.89-1.92
9 O 0.2496 0.0000 0.0000  1 Cr 1.89, 1 Mn 1.90
10 O 0.7504 0.0000 0.0000  1 Cr 1.89, 1 Mn 1.90
11 O 0.2499 0.5000 0.0000  2 Mn 1.90
12 O 0.7501 0.5000 0.0000  2 Mn 1.90
13 O 0.0000 0.0000 0.5000  2 Cr 1.92
14 O 0.5000 0.0000 0.5000  2 Mn 1.92
15 O 0.0000 0.5000 0.5000  2 Mn 1.92
16 O 0.5000 0.5000 0.5000  2 Mn 1.92
17 O 0.0000 0.2496 0.0000  1 Cr 1.89, 1 Mn 1.90
18 O 0.5000 0.2499 0.0000  2 Mn 1.90
19 O 0.0000 0.7504 0.0000  1 Cr 1.89, 1 Mn 1.90
20 O 0.5000 0.7501 0.0000  2 Mn 1.90